(1)
DFT (PBE-GGA) results for SnSbSe2I after structural relaxation.

Cell lengths 8.5250, 4.1365, 11.8535 Å; angles 90.00, 109.83, 90.00 degrees
Space group P2_1/m (No. 11)
Asymmetric unit:
Sn 0.1253 0.2500 0.1573 [2 per cell]
Sb 0.1198 0.2500 0.6530 [2 per cell]
Se 0.1091 0.2500 0.8968 [2 per cell]
Se 0.1217 0.2500 0.4097 [2 per cell]
I 0.4105 0.7500 0.7298 [2 per cell]

Theoretical density in g cm⁻³: 4.44
Calculated volume in Å³/atom: 39.321
ΔE_f (raw) in eV per formula unit: -1.64
Total energy in eV per atom: -3.66



(2)
DFT (PBE-GGA) results for La3BiIr after structural relaxation.

Cell lengths 6.5850, 17.5002, 5.8591 Å; angles 90.00, 90.00, 90.00 degrees
Space group Cmcm (No. 63)
Asymmetric unit:
La 0.0000 0.0000 0.0000 [4 per cell]
La 0.2341 0.3492 0.2500 [8 per cell]
Bi 0.0000 0.1753 0.2500 [4 per cell]
Ir 0.0000 0.4788 0.2500 [4 per cell]

Theoretical density in g cm⁻³: 8.05
Calculated volume in Å³/atom: 33.760
Formation energy in meV/atom: -201
Distance to the lowest polymorph of the same formula in eV/atom: 0.628
Total energy in eV per atom: -5.71